A plane-wave DFT calculation with GGA-PBE was carried out for a geometry-optimized ZrBRu3 structure.

Energy of formation from the pure elements, kJ per mole of atoms: -30.85
Symmetry: P1
Total moment, μB/f.u.: 0.00

Cell lengths 5.394, 6.945, 5.425 Å; angles 113.43, 115.65, 105.91 degrees
Atoms (fractional coordinates):
1 Ru 0.780 0.756 0.696
2 Ru 0.237 0.755 0.193
3 Ru 0.165 0.607 0.579
4 Ru 0.314 0.209 0.306
5 Ru 0.823 0.208 0.813
6 Ru 0.188 0.025 0.655
7 B 0.843 0.460 0.676
8 B 0.298 0.490 0.258
9 Zr 0.724 0.074 0.199
10 Zr 0.590 0.523 0.013